# Sr2Zr2Pd3

A relaxed Sr2Zr2Pd3 crystal (PBE-GGA, OQMD via LeMat-Bulk).

a = 9.0134 Å, b = 9.0134 Å, c = 9.0134 Å
α = 31.09°, β = 31.09°, γ = 31.09°
Positions (direct):
Pd 0.8719 0.8719 0.8719
Pd 0.3617 0.3617 0.3617
Pd 0.6329 0.6329 0.6329
Zr 0.5144 0.5144 0.5144
Zr 0.9930 0.9930 0.9930
Sr 0.2469 0.2469 0.2469
Sr 0.7542 0.7542 0.7542

Summary:
VASP energy ... -5.320 eV/atom
Crystal system ... trigonal

=====

# HoLu2In3Ir2

A relaxed HoLu2In3Ir2 crystal (PBE-GGA, OQMD via LeMat-Bulk).

a = 3.5860 Å, b = 7.5843 Å, c = 7.5843 Å
α = 120.17°, β = 90.00°, γ = 90.00°
Positions (direct):
Ho 0.0000 0.4217 0.4217
Lu 0.0000 0.9998 0.5771
Lu 0.0000 0.5771 0.9998
In 0.5000 0.9987 0.2349
In 0.5000 0.7661 0.7661
In 0.5000 0.2349 0.9987
Ir 0.5000 0.6692 0.3325
Ir 0.5000 0.3325 0.6692

Summary:
VASP energy ... -5.603 eV/atom
Crystal system ... orthorhombic

=====

# SrTmHf

A relaxed SrTmHf crystal (PBE-GGA, OQMD via LeMat-Bulk).

a = 5.4108 Å, b = 5.4108 Å, c = 5.4108 Å
α = 60.00°, β = 60.00°, γ = 60.00°
Positions (direct):
Hf 0.0000 0.0000 0.0000
Sr 0.2500 0.2500 0.2500
Tm 0.7500 0.7500 0.7500

Summary:
VASP energy ... -4.243 eV/atom
Crystal system ... cubic

=====

# Nd3Mg3Hg2Au

A relaxed Nd3Mg3Hg2Au crystal (PBE-GGA, OQMD via LeMat-Bulk).

a = 7.8484 Å, b = 7.8484 Å, c = 4.3420 Å
α = 90.00°, β = 90.00°, γ = 120.00°
Positions (direct):
Au 0.0000 0.0000 0.0000
Mg 0.2374 0.0000 0.5000
Mg 0.7626 0.7626 0.5000
Mg 0.0000 0.2374 0.5000
Nd 0.0000 0.5941 0.0000
Nd 0.5941 0.0000 0.0000
Nd 0.4059 0.4059 0.0000
Hg 0.3333 0.6667 0.5000
Hg 0.6667 0.3333 0.5000

Summary:
VASP energy ... -3.016 eV/atom
Crystal system ... hexagonal

=====

# Pu2Te4Pb

A relaxed Pu2Te4Pb crystal (PBE-GGA, OQMD via LeMat-Bulk).

a = 14.4995 Å, b = 14.4995 Å, c = 14.4995 Å
α = 17.88°, β = 17.88°, γ = 17.88°
Positions (direct):
Pb 0.0000 0.0000 0.0000
Pu 0.4254 0.4254 0.4254
Pu 0.5746 0.5746 0.5746
Te 0.7142 0.7142 0.7142
Te 0.2858 0.2858 0.2858
Te 0.8713 0.8713 0.8713
Te 0.1287 0.1287 0.1287

Summary:
VASP energy ... -7.171 eV/atom
Crystal system ... trigonal

=====

# HfOF2

A relaxed HfOF2 crystal (PBE-GGA, OQMD via LeMat-Bulk).

a = 3.7172 Å, b = 6.6395 Å, c = 4.8550 Å
α = 109.70°, β = 112.51°, γ = 90.00°
Positions (direct):
F 0.8363 0.4215 0.6726
F 0.1506 0.0686 0.3011
F 0.1637 0.5785 0.3274
F 0.8494 0.9314 0.6989
O 0.4655 0.2489 0.9310
O 0.5345 0.7511 0.0690
Hf 0.0230 0.2602 0.0459
Hf 0.9770 0.7398 0.9541

Summary:
VASP energy ... -8.103 eV/atom
Crystal system ... monoclinic

=====

# BaPmU

A relaxed BaPmU crystal (PBE-GGA, OQMD via LeMat-Bulk).

a = 5.6662 Å, b = 5.6662 Å, c = 5.6662 Å
α = 60.00°, β = 60.00°, γ = 60.00°
Positions (direct):
Pm 0.0000 0.0000 0.0000
U 0.7500 0.7500 0.7500
Ba 0.2500 0.2500 0.2500

Summary:
VASP energy ... -4.504 eV/atom
Crystal system ... cubic

=====

# Er2TmTl3AgIr2

A relaxed Er2TmTl3AgIr2 crystal (PBE-GGA, OQMD via LeMat-Bulk).

a = 3.7334 Å, b = 7.8366 Å, c = 7.8366 Å
α = 119.93°, β = 90.00°, γ = 90.00°
Positions (direct):
Ag 0.0000 0.9998 0.9998
Ir 0.5000 0.6665 0.3343
Ir 0.5000 0.3343 0.6665
Tm 0.0000 0.5900 0.5900
Er 0.0000 0.9999 0.4096
Er 0.0000 0.4096 0.9999
Tl 0.5000 0.0000 0.7270
Tl 0.5000 0.2731 0.2731
Tl 0.5000 0.7270 0.0000

Summary:
VASP energy ... -5.010 eV/atom
Crystal system ... orthorhombic

=====

# Sm2TmCo2B2N3

A relaxed Sm2TmCo2B2N3 crystal (PBE-GGA, OQMD via LeMat-Bulk).

a = 10.1924 Å, b = 10.1924 Å, c = 10.1924 Å
α = 160.07°, β = 160.07°, γ = 28.33°
Positions (direct):
N 0.1176 0.1176 0.0000
N 0.8824 0.8824 0.0000
N 0.5000 0.5000 0.0000
B 0.1941 0.1941 0.0000
B 0.8059 0.8059 0.0000
Sm 0.6247 0.6247 0.0000
Sm 0.3753 0.3753 0.0000
Co 0.7500 0.2500 0.5000
Co 0.2500 0.7500 0.5000
Tm 0.0000 0.0000 0.0000

Summary:
VASP energy ... -7.801 eV/atom
Crystal system ... tetragonal

=====

# DyScGa2Au2

A relaxed DyScGa2Au2 crystal (PBE-GGA, OQMD via LeMat-Bulk).

a = 4.4775 Å, b = 4.4775 Å, c = 6.8839 Å
α = 90.00°, β = 90.00°, γ = 120.00°
Positions (direct):
Ga 0.3333 0.6667 0.2971
Ga 0.3333 0.6667 0.7029
Dy 0.0000 0.0000 0.0000
Au 0.6667 0.3333 0.7464
Au 0.6667 0.3333 0.2536
Sc 0.0000 0.0000 0.5000

Summary:
VASP energy ... -4.706 eV/atom
Crystal system ... hexagonal

=====

# Tm11Sn10

A relaxed Tm11Sn10 crystal (PBE-GGA, OQMD via LeMat-Bulk).

a = 11.6775 Å, b = 11.6775 Å, c = 11.6775 Å
α = 121.08°, β = 121.08°, γ = 88.15°
Positions (direct):
Sn 0.2500 0.7500 0.5000
Sn 0.1193 0.1193 0.5891
Sn 0.3550 0.0000 0.3550
Sn 0.3697 0.3697 0.7393
Sn 0.0000 0.3550 0.3550
Sn 0.7500 0.2500 0.5000
Sn 0.5302 0.1193 0.0000
Sn 0.1123 0.1123 0.0000
Sn 0.4698 0.8807 0.0000
Sn 0.5302 0.5302 0.4109
Sn 0.8807 0.8807 0.4109
Sn 0.1193 0.5302 0.0000
Sn 0.8807 0.4698 0.0000
Sn 0.4698 0.4698 0.5891
Sn 0.6303 0.6303 0.2607
Sn 0.6450 0.0000 0.6450
Sn 0.8877 0.8877 0.0000
Sn 0.6303 0.3697 0.0000
Sn 0.0000 0.6450 0.6450
Sn 0.3697 0.6303 0.0000
Tm 0.5609 0.8119 0.7491
Tm 0.1881 0.4391 0.2509
Tm 0.3976 0.7298 0.3322
Tm 0.8268 0.8268 0.6536
Tm 0.6675 0.6675 0.0000
Tm 0.1732 0.8268 0.0000
Tm 0.8119 0.0628 0.2509
Tm 0.9372 0.1881 0.7491
Tm 0.2702 0.6024 0.6678
Tm 0.8268 0.1732 0.0000
Tm 0.1732 0.1732 0.3464
Tm 0.1881 0.9372 0.7491
Tm 0.6024 0.9346 0.3322
Tm 0.7298 0.3976 0.3322
Tm 0.0654 0.3976 0.6678
Tm 0.4391 0.1881 0.2509
Tm 0.6024 0.2702 0.6678
Tm 0.9346 0.6024 0.3322
Tm 0.0628 0.8119 0.2509
Tm 0.3976 0.0654 0.6678
Tm 0.3325 0.3325 0.0000
Tm 0.8119 0.5609 0.7491

Summary:
VASP energy ... -4.935 eV/atom
Crystal system ... tetragonal

=====

# YHo2Co2C2N3

A relaxed YHo2Co2C2N3 crystal (PBE-GGA, OQMD via LeMat-Bulk).

a = 9.9923 Å, b = 9.9923 Å, c = 9.9923 Å
α = 160.20°, β = 160.20°, γ = 28.14°
Positions (direct):
Ho 0.3728 0.3728 0.0000
Ho 0.6272 0.6272 0.0000
N 0.1203 0.1203 0.0000
N 0.5000 0.5000 0.0000
N 0.8797 0.8797 0.0000
Co 0.2500 0.7500 0.5000
Co 0.7500 0.2500 0.5000
C 0.1939 0.1939 0.0000
C 0.8061 0.8061 0.0000
Y 0.0000 0.0000 0.0000

Summary:
VASP energy ... -8.259 eV/atom
Crystal system ... tetragonal

=====

# RbPrTe3Pb

A relaxed RbPrTe3Pb crystal (PBE-GGA, OQMD via LeMat-Bulk).

a = 10.3613 Å, b = 10.3613 Å, c = 10.5320 Å
α = 102.95°, β = 102.95°, γ = 26.15°
Positions (direct):
Pb 0.5081 0.5081 0.2169
Pb 0.4919 0.4919 0.7831
Pr 0.8281 0.8281 0.9183
Pr 0.1719 0.1719 0.0817
Rb 0.8546 0.8546 0.4308
Rb 0.1454 0.1454 0.5692
Te 0.3326 0.3326 0.7121
Te 0.3322 0.3322 0.1320
Te 0.5000 0.5000 0.5000
Te 0.6674 0.6674 0.2879
Te 0.0000 0.0000 0.0000
Te 0.6678 0.6678 0.8680

Summary:
VASP energy ... -4.159 eV/atom
Crystal system ... monoclinic

=====

# RbTbB4

A relaxed RbTbB4 crystal (PBE-GGA, OQMD via LeMat-Bulk).

a = 5.8516 Å, b = 5.8516 Å, c = 5.8516 Å
α = 148.99°, β = 94.15°, γ = 94.05°
Positions (direct):
B 0.5068 0.2630 0.2438
B 0.0192 0.2630 0.7562
B 0.9808 0.7370 0.2438
B 0.4932 0.7370 0.7562
Tb 0.5000 0.0000 0.5000
Rb 0.0000 0.0000 0.0000

Summary:
VASP energy ... -5.198 eV/atom
Crystal system ... orthorhombic

=====

# Ba3NdAu4

A relaxed Ba3NdAu4 crystal (PBE-GGA, OQMD via LeMat-Bulk).

a = 6.2299 Å, b = 5.0318 Å, c = 7.9385 Å
α = 90.00°, β = 92.48°, γ = 90.00°
Positions (direct):
Au 0.8511 0.5000 0.0514
Au 0.6227 0.5000 0.5245
Au 0.1722 0.0000 0.9906
Au 0.3570 0.0000 0.4300
Ba 0.1432 0.5000 0.6899
Ba 0.6439 0.0000 0.8175
Ba 0.8542 0.0000 0.3130
Nd 0.3556 0.5000 0.1832

Summary:
VASP energy ... -3.648 eV/atom
Crystal system ... monoclinic

=====

# TbYCd

A relaxed TbYCd crystal (PBE-GGA, OQMD via LeMat-Bulk).

a = 5.1051 Å, b = 5.1051 Å, c = 5.1051 Å
α = 60.00°, β = 60.00°, γ = 60.00°
Positions (direct):
Y 0.0000 0.0000 0.0000
Cd 0.2500 0.2500 0.2500
Tb 0.7500 0.7500 0.7500

Summary:
Crystal system ... cubic
Energy of formation from the pure elements ... 0.516 eV/atom

=====

# FeBiWAu

A relaxed FeBiWAu crystal (PBE-GGA, OQMD via LeMat-Bulk).

a = 4.6552 Å, b = 4.6552 Å, c = 4.6552 Å
α = 60.00°, β = 60.00°, γ = 60.00°
Positions (direct):
Au 0.5000 0.5000 0.5000
W 0.2500 0.2500 0.2500
Bi 0.0000 0.0000 0.0000
Fe 0.7500 0.7500 0.7500

Summary:
VASP energy ... -6.338 eV/atom
Crystal system ... cubic

=====

# PaNbAsO

A relaxed PaNbAsO crystal (PBE-GGA, OQMD via LeMat-Bulk).

a = 4.1627 Å, b = 4.1627 Å, c = 7.9445 Å
α = 90.00°, β = 90.00°, γ = 90.00°
Positions (direct):
Nb 0.7500 0.7500 0.8911
Nb 0.2500 0.2500 0.1089
O 0.2500 0.7500 0.0000
O 0.7500 0.2500 0.0000
Pa 0.2500 0.7500 0.5000
Pa 0.7500 0.2500 0.5000
As 0.2500 0.2500 0.7645
As 0.7500 0.7500 0.2355

Summary:
VASP energy ... -7.450 eV/atom
Crystal system ... tetragonal

=====

# NbCu6W

A relaxed NbCu6W crystal (PBE-GGA, OQMD via LeMat-Bulk).

a = 4.2666 Å, b = 5.4931 Å, c = 4.4510 Å
α = 90.00°, β = 90.00°, γ = 90.00°
Positions (direct):
Cu 0.0000 0.5000 0.1793
Cu 0.0000 0.7405 0.6678
Cu 0.5000 0.7429 0.3370
Cu 0.5000 0.0000 0.8044
Cu 0.0000 0.2595 0.6678
Cu 0.5000 0.2571 0.3370
W 0.5000 0.5000 0.8433
Nb 0.0000 0.0000 0.1635

Summary:
Crystal system ... orthorhombic
Energy of formation from the pure elements ... 0.269 eV/atom

=====

# SmScZn

A relaxed SmScZn crystal (PBE-GGA, OQMD via LeMat-Bulk).

a = 4.8366 Å, b = 4.8366 Å, c = 4.8366 Å
α = 60.00°, β = 60.00°, γ = 60.00°
Positions (direct):
Sm 0.7500 0.7500 0.7500
Sc 0.2500 0.2500 0.2500
Zn 0.0000 0.0000 0.0000

Summary:
Crystal system ... cubic
Energy of formation from the pure elements ... 0.044 eV/atom

=====

# Cs2TbGdTe4

A relaxed Cs2TbGdTe4 crystal (PBE-GGA, OQMD via LeMat-Bulk).

a = 4.5717 Å, b = 4.5717 Å, c = 17.8651 Å
α = 90.00°, β = 90.00°, γ = 120.00°
Positions (direct):
Cs 0.6667 0.3333 0.2500
Cs 0.3333 0.6667 0.7500
Tb 0.0000 0.0000 0.0000
Gd 0.0000 0.0000 0.5000
Te 0.6667 0.3333 0.9047
Te 0.6667 0.3333 0.5955
Te 0.3333 0.6667 0.0953
Te 0.3333 0.6667 0.4045

Summary:
VASP energy ... -4.342 eV/atom
Crystal system ... trigonal

=====

# GdEr2Mg3ZnHg2

A relaxed GdEr2Mg3ZnHg2 crystal (PBE-GGA, OQMD via LeMat-Bulk).

a = 4.0818 Å, b = 7.7926 Å, c = 7.7926 Å
α = 120.35°, β = 90.00°, γ = 90.00°
Positions (direct):
Hg 0.5000 0.6684 0.3311
Hg 0.5000 0.3311 0.6684
Gd 0.0000 0.5899 0.5899
Er 0.0000 0.0000 0.4082
Er 0.0000 0.4082 0.0000
Zn 0.0000 0.0014 0.0014
Mg 0.5000 0.0009 0.7564
Mg 0.5000 0.2436 0.2436
Mg 0.5000 0.7564 0.0009

Summary:
VASP energy ... -2.612 eV/atom
Crystal system ... orthorhombic

=====

# UCdIr

A relaxed UCdIr crystal (PBE-GGA, OQMD via LeMat-Bulk).

a = 4.6194 Å, b = 4.6194 Å, c = 4.6194 Å
α = 60.00°, β = 60.00°, γ = 60.00°
Positions (direct):
U 0.2500 0.2500 0.2500
Cd 0.7500 0.7500 0.7500
Ir 0.0000 0.0000 0.0000

Summary:
Crystal system ... cubic
Energy of formation from the pure elements ... 0.022 eV/atom

=====

# Cs2Er2SO3

A relaxed Cs2Er2SO3 crystal (PBE-GGA, OQMD via LeMat-Bulk).

a = 3.6086 Å, b = 3.6086 Å, c = 14.2786 Å
α = 90.00°, β = 90.00°, γ = 120.00°
Positions (direct):
O 0.3333 0.6667 0.5666
O 0.6667 0.3333 0.0957
O 0.6667 0.3333 0.4147
S 0.3333 0.6667 0.9080
Er 0.0000 0.0000 0.0250
Er 0.0000 0.0000 0.4944
Cs 0.6667 0.3333 0.7330
Cs 0.3333 0.6667 0.2626

Summary:
VASP energy ... -6.104 eV/atom
Crystal system ... trigonal